a.
The following is a DFT calculation (PBE) of a geometry-optimized TaB3As structure.

abc: 3.9979 3.9979 3.9979
angles: 90.00 90.00 90.00
Element x y z (fractional)
Ta 0.0000 0.0000 0.0000
B 0.0000 0.5000 0.5000
B 0.5000 0.0000 0.5000
B 0.5000 0.5000 0.0000
As 0.5000 0.5000 0.5000

Properties
Space-group type: Pm-3m
Crystal system: cubic


b.
The following is a DFT calculation (PBE) of a geometry-optimized TaB3As structure.

abc: 4.3031 4.3031 4.3031
angles: 90.00 90.00 90.00
Element x y z (fractional)
Ta 0.0000 0.0000 0.0000
B 0.0000 0.0000 0.5000
B 0.0000 0.5000 0.0000
B 0.5000 0.0000 0.0000
As 0.5000 0.5000 0.5000

Properties
Space-group type: Pm-3m
Crystal system: cubic


It turns out b is the most stable, with the second structure 15.1 kJ/mol of atoms higher.


a.
The following is a DFT calculation (PBE) of a geometry-optimized Tc2BAs structure.

abc: 6.9027 6.9027 4.6006
angles: 90.00 90.00 90.00
Element x y z (fractional)
Tc 0.1515 0.2500 0.1250
Tc 0.2500 0.6515 0.3750
Tc 0.2500 0.8485 0.8750
Tc 0.3485 0.2500 0.6250
Tc 0.6515 0.7500 0.6250
Tc 0.7500 0.1515 0.8750
Tc 0.7500 0.3485 0.3750
Tc 0.8485 0.7500 0.1250
B 0.0000 0.0000 0.0000
B 0.0000 0.5000 0.2500
B 0.5000 0.0000 0.7500
B 0.5000 0.5000 0.5000
As 0.0000 0.0000 0.5000
As 0.0000 0.5000 0.7500
As 0.5000 0.0000 0.2500
As 0.5000 0.5000 0.0000

Properties
Space-group type: I-42d
Crystal system: tetragonal


b.
The following is a DFT calculation (PBE) of a geometry-optimized Tc2BAs structure.

abc: 5.8435 5.8435 5.8435
angles: 90.00 90.00 90.00
Element x y z (fractional)
Tc 0.2500 0.2500 0.2500
Tc 0.2500 0.2500 0.7500
Tc 0.2500 0.7500 0.2500
Tc 0.2500 0.7500 0.7500
Tc 0.7500 0.2500 0.2500
Tc 0.7500 0.2500 0.7500
Tc 0.7500 0.7500 0.2500
Tc 0.7500 0.7500 0.7500
B 0.0000 0.0000 0.0000
B 0.0000 0.5000 0.5000
B 0.5000 0.0000 0.5000
B 0.5000 0.5000 0.0000
As 0.0000 0.0000 0.5000
As 0.0000 0.5000 0.0000
As 0.5000 0.0000 0.0000
As 0.5000 0.5000 0.5000

Properties
Space-group type: Fm-3m
Crystal system: cubic


It turns out a is the most stable, with the second structure 6.9 kJ/mol of atoms higher.


a.
The following is a DFT calculation (PBE) of a geometry-optimized TcB3As structure.

abc: 3.9904 3.9904 3.9904
angles: 90.00 90.00 90.00
Element x y z (fractional)
Tc 0.0000 0.0000 0.0000
B 0.0000 0.5000 0.5000
B 0.5000 0.0000 0.5000
B 0.5000 0.5000 0.0000
As 0.5000 0.5000 0.5000

Properties
Space-group type: Pm-3m
Crystal system: cubic


b.
The following is a DFT calculation (PBE) of a geometry-optimized TcB3As structure.

abc: 4.1338 4.1338 4.1338
angles: 90.00 90.00 90.00
Element x y z (fractional)
Tc 0.0000 0.0000 0.0000
B 0.0000 0.0000 0.5000
B 0.0000 0.5000 0.0000
B 0.5000 0.0000 0.0000
As 0.5000 0.5000 0.5000

Properties
Space-group type: Pm-3m
Crystal system: cubic


It turns out b is the most stable, with the second structure 71.8 kJ/mol of atoms higher.


a.
The following is a DFT calculation (PBE) of a geometry-optimized BTe2As structure.

abc: 4.6782 4.6782 20.9693
angles: 90.00 90.00 120.00
Element x y z (fractional)
B 0.0000 0.0000 0.0000
B 0.3333 0.6667 0.6667
B 0.6667 0.3333 0.3333
Te 0.0000 0.0000 0.0974
Te 0.0000 0.0000 0.9026
Te 0.3333 0.6667 0.5693
Te 0.3333 0.6667 0.7641
Te 0.6667 0.3333 0.2359
Te 0.6667 0.3333 0.4307
As 0.0000 0.0000 0.5000
As 0.3333 0.6667 0.1667
As 0.6667 0.3333 0.8333

Properties
Space-group type: R-3m
Crystal system: trigonal


b.
The following is a DFT calculation (PBE) of a geometry-optimized BTe2As structure.

abc: 6.9808 6.9808 6.9808
angles: 90.00 90.00 90.00
Element x y z (fractional)
B 0.0000 0.0000 0.0000
B 0.0000 0.5000 0.5000
B 0.5000 0.0000 0.5000
B 0.5000 0.5000 0.0000
Te 0.2500 0.2500 0.2500
Te 0.2500 0.2500 0.7500
Te 0.2500 0.7500 0.2500
Te 0.2500 0.7500 0.7500
Te 0.7500 0.2500 0.2500
Te 0.7500 0.2500 0.7500
Te 0.7500 0.7500 0.2500
Te 0.7500 0.7500 0.7500
As 0.0000 0.0000 0.5000
As 0.0000 0.5000 0.0000
As 0.5000 0.0000 0.0000
As 0.5000 0.5000 0.5000

Properties
Space-group type: Fm-3m
Crystal system: cubic


It turns out a is the most stable, with the second structure 30.3 kJ/mol of atoms higher.


a.
The following is a DFT calculation (PBE) of a geometry-optimized BTe2As structure.

abc: 6.6037 6.6037 8.9395
angles: 90.00 90.00 90.00
Element x y z (fractional)
B 0.0000 0.0000 0.0000
B 0.0000 0.5000 0.2500
B 0.5000 0.0000 0.7500
B 0.5000 0.5000 0.5000
Te 0.1813 0.2500 0.1250
Te 0.2500 0.6813 0.3750
Te 0.2500 0.8187 0.8750
Te 0.3187 0.2500 0.6250
Te 0.6813 0.7500 0.6250
Te 0.7500 0.1813 0.8750
Te 0.7500 0.3187 0.3750
Te 0.8187 0.7500 0.1250
As 0.0000 0.0000 0.5000
As 0.0000 0.5000 0.7500
As 0.5000 0.0000 0.2500
As 0.5000 0.5000 0.0000

Properties
Space-group type: I-42d
Crystal system: tetragonal


b.
The following is a DFT calculation (PBE) of a geometry-optimized BTe2As structure.

abc: 3.4815 3.4815 25.9609
angles: 90.00 90.00 120.00
Element x y z (fractional)
B 0.0000 0.0000 0.0000
B 0.3333 0.6667 0.6667
B 0.6667 0.3333 0.3333
Te 0.0000 0.0000 0.3899
Te 0.0000 0.0000 0.6101
Te 0.3333 0.6667 0.0566
Te 0.3333 0.6667 0.2767
Te 0.6667 0.3333 0.7233
Te 0.6667 0.3333 0.9434
As 0.0000 0.0000 0.5000
As 0.3333 0.6667 0.1667
As 0.6667 0.3333 0.8333

Properties
Space-group type: R-3m
Crystal system: trigonal


It turns out a is the most stable, with the second structure 19.4 kJ/mol of atoms higher.


a.
The following is a DFT calculation (PBE) of a geometry-optimized B2Te2As structure.

abc: 7.8236 7.8236 3.4403
angles: 90.00 90.00 90.00
Element x y z (fractional)
B 0.2016 0.2984 0.0000
B 0.2984 0.7984 0.0000
B 0.7016 0.2016 0.0000
B 0.7984 0.7016 0.0000
Te 0.1647 0.6647 0.5000
Te 0.3353 0.1647 0.5000
Te 0.6647 0.8353 0.5000
Te 0.8353 0.3353 0.5000
As 0.0000 0.0000 0.5000
As 0.5000 0.5000 0.5000

Properties
Space-group type: P4/mbm
Crystal system: tetragonal


b.
The following is a DFT calculation (PBE) of a geometry-optimized B2Te2As structure.

abc: 3.6689 3.6689 14.1880
angles: 90.00 90.00 90.00
Element x y z (fractional)
B 0.0000 0.5000 0.2500
B 0.0000 0.5000 0.7500
B 0.5000 0.0000 0.2500
B 0.5000 0.0000 0.7500
Te 0.0000 0.0000 0.1415
Te 0.0000 0.0000 0.8585
Te 0.5000 0.5000 0.3585
Te 0.5000 0.5000 0.6415
As 0.0000 0.0000 0.5000
As 0.5000 0.5000 0.0000

Properties
Space-group type: I4/mmm
Crystal system: tetragonal


It turns out b is the most stable, with the second structure 20.0 kJ/mol of atoms higher.